1.
Material: SrLa2Ir
Method: DFT, PBE
State: relaxed

```
4
Lattice="3.707 0.000 0.000 0.000 3.693 0.000 -0.015 0.000 10.176" Properties=species:S:1:pos:R:3 pbc="T T T"
Sr 0.000 0.000 0.000
La 1.829 1.847 6.715
La 1.862 1.847 3.461
Ir -0.008 0.000 5.088
```

- Space group: P2/m
- Formation energy from the elements: -307 meV per atom
- E above lowest polymorph: 156.9 meV per atom

2.
Material: AgPt2W
Method: DFT, PBE
State: relaxed

```
4
Lattice="2.780 0.000 0.000 0.000 2.780 0.000 0.000 0.000 8.322" Properties=species:S:1:pos:R:3 pbc="T T T"
Ag 0.000 0.000 0.000
Pt 0.000 0.000 4.220
Pt 1.390 1.390 2.118
W 1.390 1.390 6.143
```

- Space group: P4mm
- Formation energy from the elements: 69 meV per atom
- E above lowest polymorph: 275.1 meV per atom

3.
Material: Rb2MnNi
Method: DFT, PBE
State: relaxed

```
4
Lattice="0.000 4.173 4.173 4.173 0.000 4.173 4.173 4.173 0.000" Properties=species:S:1:pos:R:3 pbc="T T T"
Rb 2.086 2.086 2.086
Rb 6.259 6.259 6.259
Mn 0.000 0.000 0.000
Ni 4.173 4.173 4.173
```

- Space group: Fm-3m
- Formation energy from the elements: 1166 meV per atom
- E above lowest polymorph: 417.9 meV per atom

4.
Material: BaMgCdO2
Method: DFT, PBE
State: relaxed

```
5
Lattice="4.676 0.000 0.000 0.000 4.676 0.000 0.000 0.000 6.854" Properties=species:S:1:pos:R:3 pbc="T T T"
Ba 0.000 0.000 0.000
Mg 2.338 2.338 3.427
Cd 0.000 0.000 3.427
O 0.000 2.338 0.000
O 2.338 0.000 0.000
```

- Space group: P4/mmm
- Formation energy without anion corrections: -1.22 eV/f.u.

5.
Material: Rb2ReRuCl
Method: DFT, PBE
State: relaxed

```
5
Lattice="6.323 0.000 0.000 0.000 6.323 0.000 0.000 0.000 4.466" Properties=species:S:1:pos:R:3 pbc="T T T"
Rb 0.000 3.162 0.000
Rb 3.162 0.000 0.000
Re 0.000 0.000 2.233
Ru 3.162 3.162 2.233
Cl 0.000 0.000 0.000
```

- Space group: P4/mmm
- Formation energy without anion corrections: 7.66 eV/f.u.

6.
Material: RbLiCe2I8
Method: DFT, PBE
State: relaxed

```
12
Lattice="8.018 0.000 0.000 -4.009 6.943 0.000 0.000 0.000 9.391" Properties=species:S:1:pos:R:3 pbc="T T T"
Rb 0.000 0.000 0.000
Li 0.000 0.000 4.695
Ce 0.000 4.629 3.822
Ce 4.009 2.314 5.569
I -0.865 2.452 6.208
I -1.453 6.466 6.208
I 0.000 4.629 0.771
I 1.691 1.975 3.183
I 2.318 4.969 6.208
I 4.009 2.314 8.620
I 5.462 0.477 3.183
I 4.873 4.492 3.183
```

- Space group: P-3
- Formation energy without anion corrections: -15.60 eV/f.u.

7.
Material: Ti3AlH
Method: DFT, PBE
State: relaxed

```
20
Lattice="7.261 0.000 0.000 0.000 5.139 0.000 -6.027 0.000 7.406" Properties=species:S:1:pos:R:3 pbc="T T T"
Ti -1.248 0.311 2.179
Ti -4.261 2.259 5.882
Ti -1.584 1.076 5.076
Ti 1.430 1.494 1.373
Ti 0.282 3.783 3.318
Ti -2.732 3.926 7.021
Ti 3.965 1.213 0.385
Ti 0.951 1.357 4.089
Ti -0.196 3.646 6.034
Ti 2.817 4.064 2.331
Ti 5.495 2.881 1.524
Ti 2.481 4.829 5.228
Al -2.370 3.668 4.210
Al 0.643 4.041 0.507
Al 0.590 1.098 6.899
Al 3.604 1.472 3.196
H -3.119 0.608 6.185
H -0.105 1.962 2.482
H 1.339 3.178 4.925
H 4.352 4.532 1.222
```

- Space group: P2_1/c

8.
Material: Er6TmAl2
Method: DFT, PBE
State: relaxed

```
9
Lattice="6.193 -1.809 0.000 6.193 1.809 0.000 -3.745 0.000 11.032" Properties=species:S:1:pos:R:3 pbc="T T T"
Er -0.966 0.000 3.650
Er 2.317 0.000 4.547
Er 3.428 0.000 1.365
Er 5.214 0.000 9.667
Er 6.325 0.000 6.484
Er 9.608 0.000 7.382
Tm 0.000 0.000 0.000
Al 1.373 0.000 8.788
Al 7.269 0.000 2.244
```

- Space group: C2/m
- Formation energy from the elements: -173 meV per atom

Number 1: E -21.6 eV/cell. Number 2: E -27.6 eV/cell. Number 3: E -12.2 eV/cell. Number 4: E -15.6 eV/cell. Number 5: E -17.8 eV/cell. Number 6: E -42.8 eV/cell. Number 7: E -127.4 eV/cell. Number 8: E -40.9 eV/cell.